Arrangement a

A geometry-optimized TbThFe structure, computed with PBE-GGA.

Cell lengths 6.978, 6.599, 7.829 Å; angles 90.00, 121.82, 90.00 degrees
Positions (direct):
1 Tb 0.159 0.172 0.406
2 Tb 0.159 0.328 0.906
3 Tb 0.841 0.672 0.094
4 Tb 0.841 0.828 0.594
5 Th 0.335 0.688 0.616
6 Th 0.335 0.812 0.116
7 Th 0.665 0.188 0.884
8 Th 0.665 0.312 0.384
9 Fe 0.320 0.532 0.310
10 Fe 0.320 0.968 0.810
11 Fe 0.680 0.032 0.190
12 Fe 0.680 0.468 0.690

=====

Arrangement b

A geometry-optimized TbThFe structure, computed with PBE-GGA.

Cell lengths 6.708, 6.708, 6.708 Å; angles 150.39, 150.39, 42.36 degrees
Positions (direct):
1 Tb 0.000 0.000 0.000
2 Th 0.266 0.266 0.000
3 Fe 0.643 0.643 0.000

=====

Which structure loses on stability? arrangement b does.

=====

Arrangement a

A geometry-optimized TbTh2Fe structure, computed with PBE-GGA.

Cell lengths 6.151, 6.151, 9.741 Å; angles 90.00, 90.00, 145.00 degrees
Positions (direct):
1 Tb 0.088 0.912 0.750
2 Tb 0.912 0.088 0.250
3 Th 0.361 0.639 0.570
4 Th 0.361 0.639 0.930
5 Th 0.639 0.361 0.070
6 Th 0.639 0.361 0.430
7 Fe 0.198 0.802 0.250
8 Fe 0.802 0.198 0.750

=====

Arrangement b

A geometry-optimized TbTh2Fe structure, computed with PBE-GGA.

Cell lengths 9.096, 9.096, 9.096 Å; angles 24.50, 24.50, 24.50 degrees
Positions (direct):
1 Tb 0.000 0.000 0.000
2 Th 0.557 0.557 0.557
3 Th 0.776 0.776 0.776
4 Fe 0.165 0.165 0.165

=====

Arrangement c

A geometry-optimized TbTh2Fe structure, computed with PBE-GGA.

Cell lengths 10.240, 10.240, 10.240 Å; angles 21.05, 21.05, 21.05 degrees
Positions (direct):
1 Tb 0.000 0.000 0.000
2 Th 0.114 0.114 0.114
3 Th 0.886 0.886 0.886
4 Fe 0.500 0.500 0.500

=====

Which structure loses on stability? arrangement c does.

=====

Arrangement a

A geometry-optimized TbTh2Fe structure, computed with PBE-GGA.

Cell lengths 6.998, 9.739, 6.240 Å; angles 90.00, 90.00, 90.00 degrees
Positions (direct):
1 Tb 0.048 0.250 0.150
2 Tb 0.452 0.750 0.650
3 Tb 0.548 0.250 0.350
4 Tb 0.952 0.750 0.850
5 Th 0.168 0.068 0.673
6 Th 0.168 0.432 0.673
7 Th 0.332 0.568 0.173
8 Th 0.332 0.932 0.173
9 Th 0.668 0.068 0.827
10 Th 0.668 0.432 0.827
11 Th 0.832 0.568 0.327
12 Th 0.832 0.932 0.327
13 Fe 0.101 0.750 0.382
14 Fe 0.399 0.250 0.882
15 Fe 0.601 0.750 0.118
16 Fe 0.899 0.250 0.618

=====

Arrangement b

A geometry-optimized TbTh2Fe structure, computed with PBE-GGA.

Cell lengths 3.510, 3.510, 8.675 Å; angles 90.00, 90.00, 90.00 degrees
Positions (direct):
1 Tb 0.000 0.000 0.000
2 Th 0.500 0.500 0.302
3 Th 0.500 0.500 0.698
4 Fe 0.000 0.000 0.500

=====

Which structure loses on stability? arrangement b does.